Density functional theory data (PBE with a Hubbard U) for a relaxed LiCoNF2 crystal.

Energy relative to the lowest polymorph listed for this composition in eV/atom: 0.0000
M_tot in Bohr magnetons per cell: 1.3
SG: P4/mmm (123)

abc: 4.1069 4.1069 3.4318
angles: 90.00 90.00 90.00
With the nearest neighbours (Å) after each atom.
Positions (direct):
N: 0.0000 0.0000 0.5000  2 Co 1.72
Li: 0.5000 0.5000 0.5000  8 F 2.68, 4 N 2.90
Co: 0.0000 0.0000 0.0000  2 N 1.72
F: 0.5000 0.0000 0.0000  2 Co 2.05
F: 0.0000 0.5000 0.0000  2 Co 2.05